(1)
Here is a relaxed structure of PmCdAgHg from Alexandria. Energies are from PBE.

Summary:
DOS at the Fermi energy ... 0.675 states/eV per atom
Total moment ... 0.0 Bohr magnetons per cell
DFT formation energy ... -0.3587 eV/atom
E_tot ... -41.014 eV per cell

Unit cell a=7.1896 b=7.1896 c=7.1896 alpha=90.00 beta=90.00 gamma=90.00
Last column: nearest neighbours and their distance in Å.
Space group F-43m (No. 216)
Unique sites:
Pm 0.0000 0.0000 0.0000  4 Hg 3.11, 4 Ag 3.11
Cd 0.0000 0.0000 0.5000  4 Hg 3.11, 4 Ag 3.11
Ag 0.2500 0.2500 0.2500  4 Cd 3.11, 4 Pm 3.11
Hg 0.2500 0.2500 0.7500  4 Cd 3.11, 4 Pm 3.11

---

(2)
Here is a relaxed structure of Pm4Cd2AgHg from Alexandria. Energies are from PBE.

Summary:
DOS at the Fermi energy ... 1.057 states/eV per atom
Total moment ... 3.7 Bohr magnetons per cell
DFT formation energy ... -0.3381 eV/atom
E_tot ... -80.072 eV per cell

Unit cell a=5.3733 b=5.3733 c=26.3419 alpha=90.00 beta=90.00 gamma=120.00
Last column: nearest neighbours and their distance in Å.
Space group R-3m (No. 166, hexagonal axes)
Unique sites:
Pm 0.0000 0.0000 0.1238  1 Ag 3.26, 4 Cd 3.28-3.31, 3 Hg 3.30
Pm 0.0000 0.0000 0.3740  4 Cd 3.28-3.30, 3 Ag 3.28, 1 Hg 3.32
Cd 0.0000 0.0000 0.2495  8 Pm 3.28-3.31
Ag 0.0000 0.0000 0.0000  8 Pm 3.26-3.28
Hg 0.0000 0.0000 0.5000  8 Pm 3.30-3.32

---

DOS at the Fermi energy of number 1 (PmCdAgHg)? 0.675 states/eV per atom

---

Look up the DOS at the Fermi energy of the first one. 0.675 states/eV per atom

---

Which value of DOS at the Fermi energy does entry 2 give? 1.057 states/eV per atom